SrCoAsO6 after structural relaxation. Source: Alexandria via LeMat-Bulk, functional PBE with a Hubbard U.

a b c (Å): 4.942 4.942 5.455
angles (deg): 90.02 89.98 59.99
Each line ends with the local moment (μB).
Sites, in units of the cell vectors:
Sr: 0.000 0.000 0.000  0.00
Co: 0.333 0.333 0.500  1.60
As: 0.667 0.667 0.500  0.00
O: 0.999 0.390 0.305  0.05
O: 0.390 0.999 0.695  0.05
O: 0.611 0.391 0.695  0.05
O: 0.998 0.611 0.695  0.05
O: 0.391 0.611 0.305  0.05
O: 0.611 0.998 0.305  0.05

Summary:
- Space group: P312
- E_tot: -6.018 eV per atom
- Density: 4.57 Mg/m³